Below is PPdS2F after structural relaxation, with properties calculated at the PBE-GGA level.

The value obtained for the uncorrected formation energy is 0.6651 eV per atom. The density of states at the Fermi level is 5.7 states/eV/f.u. The energy above the most stable polymorph in this dataset is 0.000 eV/atom. For the raw total energy, the calculation gives -3.481 eV/atom. The value obtained for the total moment is 2.606 μB per cell.

Unit cell a=4.793 b=4.793 c=4.569 alpha=90.00 beta=90.00 gamma=90.00
Site moments in Bohr magnetons follow the coordinates.
Atoms (fractional coordinates):
1 S 0.000 0.500 0.000  0.55
2 S 0.500 0.000 0.000  0.55
3 F 0.500 0.500 0.500  0.33
4 Pd 0.000 0.000 0.000  0.16
5 P 0.000 0.000 0.500  0.20

=====

Below is NpU2Ge2 after structural relaxation, with properties calculated at the PBE-GGA level.

The formation energy is -0.11 eV per atom. The density of states at the Fermi level is 9.8 states/eV/f.u. For the raw total energy, the calculation gives -9.063 eV/atom. The value obtained for the total moment is 3.615 μB per cell.

Unit cell a=3.681 b=5.561 c=5.563 alpha=87.70 beta=70.68 gamma=70.67
Site moments in Bohr magnetons follow the coordinates.
Atoms (fractional coordinates):
1 Ge 0.321 0.179 0.678  -0.03
2 Ge 0.679 0.821 0.322  -0.03
3 U 0.000 0.736 0.765  0.93
4 U 0.000 0.264 0.235  0.93
5 Np 0.500 0.500 0.000  1.73

=====

Below is La2YPt after structural relaxation, with properties calculated at the PBE-GGA level.

The formation energy is -0.31 eV per atom. The density of states at the Fermi level is 5.8 states/eV/f.u. The energy above the most stable polymorph in this dataset is 0.336 eV/atom. For the raw total energy, the calculation gives -5.903 eV/atom. The value obtained for the total moment is 0.001 μB per cell.

Unit cell a=6.333 b=6.333 c=6.333 alpha=138.57 beta=138.57 gamma=60.03
Atoms (fractional coordinates):
1 La 0.000 0.000 0.000
2 La 0.250 0.750 0.500
3 Pt 0.500 0.500 0.000
4 Y 0.750 0.250 0.500

=====

Below is NdGa3Au3 after structural relaxation, with properties calculated at the PBE-GGA level.

The formation energy is -0.38 eV per atom. The density of states at the Fermi level is 1.9 states/eV/f.u. The energy above the most stable polymorph in this dataset is 0.000 eV/atom. For the raw total energy, the calculation gives -3.766 eV/atom. The value obtained for the total moment is 0.000 μB per cell.

Unit cell a=8.283 b=8.283 c=7.100 alpha=54.32 beta=54.32 gamma=60.00
Atoms (fractional coordinates):
1 Au 0.761 0.437 0.698
2 Au 0.563 0.896 0.302
3 Au 0.437 0.104 0.698
4 Au 0.104 0.761 0.698
5 Au 0.896 0.239 0.302
6 Au 0.239 0.563 0.302
7 Nd 0.665 0.665 0.004
8 Nd 0.335 0.335 0.996
9 Ga 0.368 0.780 0.783
10 Ga 0.632 0.220 0.217
11 Ga 0.070 0.368 0.783
12 Ga 0.780 0.070 0.783
13 Ga 0.220 0.930 0.217
14 Ga 0.930 0.632 0.217

=====

Below is BaZnNi2 after structural relaxation, with properties calculated at the PBE-GGA level.

The formation energy is 0.45 eV per atom. The density of states at the Fermi level is 1.2 states/eV/f.u. For the raw total energy, the calculation gives -3.241 eV/atom. The value obtained for the total moment is 0.000 μB per cell.

Unit cell a=5.486 b=5.486 c=5.486 alpha=136.59 beta=136.59 gamma=63.06
Atoms (fractional coordinates):
1 Ni 0.000 0.000 0.000
2 Ni 0.250 0.750 0.500
3 Zn 0.500 0.500 0.000
4 Ba 0.750 0.250 0.500

=====

Below is PaMn3Ni8 after structural relaxation, with properties calculated at the PBE-GGA level.

The formation energy is -0.15 eV per atom. The density of states at the Fermi level is 10.7 states/eV/f.u. For the raw total energy, the calculation gives -7.085 eV/atom. The value obtained for the total moment is 4.787 μB per cell.

Unit cell a=4.813 b=4.813 c=7.791 alpha=90.00 beta=90.00 gamma=120.00
Site moments in Bohr magnetons follow the coordinates.
Atoms (fractional coordinates):
1 Mn 0.667 0.333 0.400  -3.58
2 Mn 0.667 0.333 0.064  3.66
3 Mn 0.000 0.000 0.958  3.71
4 Ni 0.503 0.497 0.757  0.19
5 Ni 0.503 0.006 0.757  0.19
6 Ni 0.994 0.497 0.757  0.19
7 Ni 0.333 0.667 0.000  0.47
8 Ni 0.165 0.329 0.247  0.06
9 Ni 0.671 0.835 0.247  0.06
10 Ni 0.333 0.667 0.499  -0.13
11 Ni 0.165 0.835 0.247  0.06
12 Pa 0.000 0.000 0.570  -0.11

=====

Below is SbPO4 after structural relaxation, with properties calculated at the PBE-GGA level.

The value obtained for the uncorrected formation energy is -1.8352 eV per atom. The density of states at the Fermi level is 0.0 states/eV/f.u. The energy above the most stable polymorph in this dataset is 0.054 eV/atom. For the raw total energy, the calculation gives -6.729 eV/atom. The value obtained for the total moment is 0.000 μB per cell.

Unit cell a=4.771 b=7.174 c=9.877 alpha=90.00 beta=90.00 gamma=90.00
Atoms (fractional coordinates):
1 O 0.604 0.250 0.875
2 O 0.735 0.750 0.447
3 O 0.363 0.083 0.323
4 O 0.896 0.250 0.375
5 O 0.104 0.750 0.625
6 O 0.863 0.917 0.177
7 O 0.396 0.750 0.125
8 O 0.137 0.083 0.823
9 O 0.235 0.250 0.053
10 O 0.265 0.250 0.553
11 O 0.863 0.583 0.177
12 O 0.637 0.917 0.677
13 O 0.363 0.417 0.323
14 O 0.765 0.750 0.947
15 O 0.637 0.583 0.677
16 O 0.137 0.417 0.823
17 P 0.217 0.250 0.401
18 P 0.717 0.750 0.099
19 P 0.783 0.750 0.599
20 P 0.283 0.250 0.901
21 Sb 0.855 0.250 0.699
22 Sb 0.645 0.250 0.199
23 Sb 0.355 0.750 0.801
24 Sb 0.145 0.750 0.301

=====

Below is YTi2H after structural relaxation, with properties calculated at the PBE-GGA level.

The density of states at the Fermi level is 5.5 states/eV/f.u. The energy above the most stable polymorph in this dataset is 1.150 eV/atom. For the raw total energy, the calculation gives -5.283 eV/atom. The value obtained for the total moment is 1.801 μB per cell.

Unit cell a=4.668 b=4.668 c=4.668 alpha=60.00 beta=60.00 gamma=60.00
Site moments in Bohr magnetons follow the coordinates.
Atoms (fractional coordinates):
1 H 0.000 0.000 0.000  -0.01
2 Ti 0.750 0.750 0.750  0.56
3 Ti 0.250 0.250 0.250  0.56
4 Y 0.500 0.500 0.500  0.36

=====

Number 7 is which compound?
SbPO4